Below is a geometry-optimized LaTaAsO structure, with properties calculated at the GGA-PBE level.

Calculated values
- Space group: No. 26
- ρ: 9.1 g cm⁻³
- E: -8.2077 eV/atom

Unit cell a=4.179 b=4.884 c=7.322 alpha=90.00 beta=90.00 gamma=90.00
Fractional positions:
La 0.000 0.174 0.000
La 0.000 0.826 0.500
Ta 0.500 0.332 0.348
Ta 0.500 0.668 0.848
As 0.500 0.175 0.694
As 0.500 0.825 0.194
O 0.000 0.333 0.347
O 0.000 0.667 0.847